The following is a DFT calculation (GGA-PBE) of Sn3P after structural relaxation.

total moment = 0.00 μB/atom
theoretical density = 6.566 Mg/m³
energy of formation = 0.264 eV/atom
density of states at the Fermi level = 4.43 states/eV/cell
energy relative to the lowest polymorph listed for this composition = 0.175 eV/atom
space-group type = P6_3/mmc

```
Sn3P
1.0
3.220 -5.577 0.000
3.220 5.577 0.000
0.000 0.000 5.452
Sn P
6 2
direct
0.829 0.171 0.750 Sn
0.829 0.659 0.750 Sn
0.171 0.341 0.250 Sn
0.659 0.829 0.250 Sn
0.341 0.171 0.750 Sn
0.171 0.829 0.250 Sn
0.667 0.333 0.250 P
0.333 0.667 0.750 P
```



The following is a DFT calculation (GGA-PBE) of SnP2 after structural relaxation.

total moment = 0.00 μB/atom
theoretical density = 4.323 Mg/m³
energy of formation = 0.111 eV/atom
density of states at the Fermi level = 1.44 states/eV/cell
energy relative to the lowest polymorph listed for this composition = 0.073 eV/atom
space-group type = C2/m

```
SnP2
1.0
-3.711 -6.052 0.338
0.868 -0.325 3.723
-3.531 3.701 1.146
P Sn
4 2
direct
0.927 0.000 0.164 P
0.073 0.000 0.836 P
0.073 0.500 0.336 P
0.927 0.500 0.664 P
0.500 0.000 0.000 Sn
0.500 0.500 0.500 Sn
```



The following is a DFT calculation (GGA-PBE) of SnP2 after structural relaxation.

total moment = 0.00 μB/atom
theoretical density = 4.763 Mg/m³
energy of formation = 0.133 eV/atom
density of states at the Fermi level = 1.83 states/eV/cell
energy relative to the lowest polymorph listed for this composition = 0.096 eV/atom
space-group type = I4/mmm

```
SnP2
1.0
3.137 0.000 0.000
0.000 3.137 0.000
0.000 0.000 12.796
P Sn
4 2
direct
0.000 0.000 0.222 P
0.500 0.500 0.722 P
0.500 0.500 0.278 P
0.000 0.000 0.778 P
0.000 0.000 0.000 Sn
0.500 0.500 0.500 Sn
```



The following is a DFT calculation (GGA-PBE) of SnP2 after structural relaxation.

total moment = 0.00 μB/atom
theoretical density = 4.258 Mg/m³
energy of formation = 0.126 eV/atom
density of states at the Fermi level = 0.91 states/eV/cell
energy relative to the lowest polymorph listed for this composition = 0.089 eV/atom
space-group type = P-1

```
SnP2
1.0
4.063 0.000 0.002
-2.005 3.587 0.004
-0.030 -2.355 4.830
P Sn
2 1
direct
0.925 0.346 0.780 P
0.075 0.654 0.220 P
0.500 0.500 0.500 Sn
```



The following is a DFT calculation (GGA-PBE) of SnP2 after structural relaxation.

total moment = 0.00 μB/atom
theoretical density = 4.722 Mg/m³
energy of formation = 0.104 eV/atom
density of states at the Fermi level = 1.29 states/eV/cell
energy relative to the lowest polymorph listed for this composition = 0.067 eV/atom
space-group type = C2/m

```
SnP2
1.0
-1.219 3.090 -0.310
-2.021 -2.480 0.831
2.343 0.215 6.362
Sn P
1 2
direct
0.000 0.000 0.500 Sn
0.383 0.691 0.093 P
0.617 0.309 0.907 P
```



The following is a DFT calculation (GGA-PBE) of SrSnP after structural relaxation.

total moment = 0.00 μB/atom
theoretical density = 4.534 Mg/m³
energy of formation = -0.748 eV/atom
density of states at the Fermi level = 1.55 states/eV/cell
energy relative to the lowest polymorph listed for this composition = 0.000 eV/atom
space-group type = P4/nmm

```
SrSnP
1.0
-2.040 2.840 -2.647
-3.754 -2.205 0.527
-2.040 5.176 7.124
P Sn Sr
2 2 2
direct
0.500 0.000 0.673 P
0.000 0.500 0.327 P
0.000 0.500 0.053 Sn
0.500 0.000 0.947 Sn
0.500 0.000 0.334 Sr
0.000 0.500 0.666 Sr
```



The following is a DFT calculation (GGA-PBE) of Sr6Sn2P after structural relaxation.

total moment = 0.12 μB/atom
theoretical density = 4.063 Mg/m³
energy of formation = -0.609 eV/atom
density of states at the Fermi level = 5.61 states/eV/cell
space-group type = P-62m

```
Sr6Sn2P
1.0
-1.444 -1.948 4.186
-4.841 -5.880 -4.407
8.367 -1.830 2.035
Sr Sn P
6 2 1
direct
0.000 0.752 0.752 Sr
0.500 0.411 0.411 Sr
0.000 0.000 0.248 Sr
0.000 0.248 0.000 Sr
0.500 0.590 0.000 Sr
0.500 0.000 0.589 Sr
0.000 0.667 0.333 Sn
0.000 0.333 0.667 Sn
0.500 0.000 0.000 P
```



The following is a DFT calculation (GGA-PBE) of SrSnP2 after structural relaxation.

total moment = 0.00 μB/atom
theoretical density = 4.544 Mg/m³
energy of formation = -0.422 eV/atom
density of states at the Fermi level = 0.78 states/eV/cell
space-group type = R-3m

```
SrSnP2
1.0
-1.971 1.016 -3.380
-0.185 -2.599 -3.090
-6.557 -3.203 0.443
Sr P Sn
1 2 1
direct
0.500 0.500 0.500 Sr
0.263 0.263 0.211 P
0.737 0.737 0.789 P
0.000 0.000 0.000 Sn
```